Computed, not measured: a relaxed structure of MnAlNi5 at the PBE-GGA level of DFT.

Lattice parameters (Å, degrees): 3.535 3.535 6.869 90.00 90.00 90.00
Sites, in units of the cell vectors:
Ni  0.000  0.500  0.758
Ni  0.500  0.500  0.500
Ni  0.000  0.500  0.242
Ni  0.500  0.000  0.242
Ni  0.500  0.000  0.758
Mn  0.000  0.000  0.500
Al  0.500  0.500  0.000

ΔE_f = -83 meV/atom
Total DFT energy (no corrections) = -42.40 eV/cell
Calculated volume = 12.26 Å³/atom

Computed, not measured: a relaxed structure of MnAl2Ni2 at the PBE-GGA level of DFT.

Lattice parameters (Å, degrees): 6.885 6.885 2.593 90.00 90.00 90.00
Sites, in units of the cell vectors:
Ni  0.627  0.127  0.000
Ni  0.873  0.627  0.000
Ni  0.373  0.873  0.000
Ni  0.127  0.373  0.000
Al  0.171  0.671  0.500
Al  0.329  0.171  0.500
Al  0.671  0.829  0.500
Al  0.829  0.329  0.500
Mn  0.000  0.000  0.000
Mn  0.500  0.500  0.000

ΔE_f = -205 meV/atom
Relative energy among the computed polymorphs = 0.0 meV/atom
Total DFT energy (no corrections) = -58.49 eV/cell
Calculated volume = 12.29 Å³/atom

Computed, not measured: a relaxed structure of MnAl2Ni at the PBE-GGA level of DFT.

Lattice parameters (Å, degrees): 4.986 4.986 4.986 146.02 132.06 60.06
Sites, in units of the cell vectors:
Mn  0.493  0.493  0.000
Ni  0.249  0.749  0.500
Al  0.016  0.016  0.000
Al  0.743  0.243  0.500

ΔE_f = -328 meV/atom
Total DFT energy (no corrections) = -23.75 eV/cell
Calculated volume = 12.74 Å³/atom

Computed, not measured: a relaxed structure of Mn2Al2Ni3 at the PBE-GGA level of DFT.

Lattice parameters (Å, degrees): 3.721 4.482 6.802 108.71 105.87 114.55
Sites, in units of the cell vectors:
Ni  0.562  0.282  0.842
Ni  0.438  0.718  0.158
Ni  0.000  0.000  0.000
Al  0.831  0.405  0.257
Al  0.169  0.595  0.743
Mn  0.282  0.142  0.423
Mn  0.718  0.858  0.577

ΔE_f = -247 meV/atom
Total DFT energy (no corrections) = -44.89 eV/cell
Calculated volume = 12.31 Å³/atom

Computed, not measured: a relaxed structure of Mn2AlNi at the PBE-GGA level of DFT.

Lattice parameters (Å, degrees): 2.896 2.896 5.721 90.00 90.00 90.00
Sites, in units of the cell vectors:
Mn  0.000  0.000  0.013
Mn  0.500  0.500  0.242
Ni  0.000  0.000  0.500
Al  0.500  0.500  0.745

ΔE_f = -247 meV/atom
Total DFT energy (no corrections) = -28.85 eV/cell
Calculated volume = 12.00 Å³/atom

Computed, not measured: a relaxed structure of Mn2Al3Ni7 at the PBE-GGA level of DFT.

Lattice parameters (Å, degrees): 2.595 4.639 12.443 75.31 90.00 90.00
Sites, in units of the cell vectors:
Ni  0.000  0.445  0.836
Ni  0.500  0.950  0.831
Ni  0.500  0.753  0.499
Ni  0.500  0.247  0.501
Ni  0.500  0.050  0.169
Ni  0.000  0.555  0.164
Ni  0.000  0.000  0.000
Al  0.000  0.889  0.660
Al  0.500  0.500  0.000
Al  0.000  0.111  0.340
Mn  0.500  0.381  0.674
Mn  0.500  0.619  0.326

ΔE_f = -188 meV/atom
Total DFT energy (no corrections) = -72.29 eV/cell
Calculated volume = 12.08 Å³/atom

Computed, not measured: a relaxed structure of Mn2AlNi at the PBE-GGA level of DFT.

Lattice parameters (Å, degrees): 4.163 2.561 4.634 80.91 90.00 90.00
Sites, in units of the cell vectors:
Mn  0.000  0.021  0.006
Mn  0.000  0.479  0.494
Al  0.500  0.750  0.750
Ni  0.500  0.250  0.250

ΔE_f = -53 meV/atom
Total DFT energy (no corrections) = -28.07 eV/cell
Calculated volume = 12.19 Å³/atom

Computed, not measured: a relaxed structure of Mn2AlNi at the PBE-GGA level of DFT.

Lattice parameters (Å, degrees): 2.737 3.505 5.304 90.00 90.00 90.00
Sites, in units of the cell vectors:
Mn  0.000  0.000  0.492
Mn  0.000  0.000  0.008
Al  0.500  0.500  0.750
Ni  0.500  0.500  0.250

ΔE_f = -118 meV/atom
Total DFT energy (no corrections) = -28.34 eV/cell
Calculated volume = 12.72 Å³/atom

Computed, not measured: a relaxed structure of MnAlNi at the PBE-GGA level of DFT.

Lattice parameters (Å, degrees): 3.975 3.975 3.975 60.00 60.00 60.00
Sites, in units of the cell vectors:
Ni  0.750  0.750  0.750
Al  0.000  0.000  0.000
Mn  0.500  0.500  0.500

ΔE_f = -35 meV/atom
Total DFT energy (no corrections) = -18.80 eV/cell
Calculated volume = 14.80 Å³/atom

Computed, not measured: a relaxed structure of Mn3AlNi at the PBE-GGA level of DFT.

Lattice parameters (Å, degrees): 4.457 4.457 4.457 90.00 90.00 90.00
Sites, in units of the cell vectors:
Al  0.500  0.500  0.500
Mn  0.000  0.000  0.500
Mn  0.000  0.500  0.000
Mn  0.500  0.000  0.000
Ni  0.000  0.000  0.000

ΔE_f = 735 meV/atom
Relative energy among the computed polymorphs = 0.0 meV/atom
Total DFT energy (no corrections) = -33.36 eV/cell
Calculated volume = 17.70 Å³/atom

Computed, not measured: a relaxed structure of Mn2AlNi at the PBE-GGA level of DFT.

Lattice parameters (Å, degrees): 8.441 8.441 8.441 17.69 17.69 17.69
Sites, in units of the cell vectors:
Ni  0.250  0.250  0.250
Mn  0.502  0.502  0.502
Mn  0.998  0.998  0.998
Al  0.750  0.750  0.750

ΔE_f = 61 meV/atom
Total DFT energy (no corrections) = -27.62 eV/cell
Calculated volume = 12.13 Å³/atom

Computed, not measured: a relaxed structure of Mn2AlNi at the PBE-GGA level of DFT.

Lattice parameters (Å, degrees): 4.874 4.874 2.561 78.61 78.61 119.39
Sites, in units of the cell vectors:
Ni  0.500  0.000  0.500
Mn  0.500  0.500  0.000
Mn  0.000  0.000  0.000
Al  0.000  0.500  0.500

ΔE_f = -44 meV/atom
Total DFT energy (no corrections) = -28.04 eV/cell
Calculated volume = 12.19 Å³/atom